Density functional theory data (PBE) for PRh2O after structural relaxation.

The structure in extended XYZ format:
```
4
Lattice="4.029 0.264 0.237 1.709 2.928 2.205 1.886 -0.913 3.459" Properties=species:S:1:pos:R:3 pbc="T T T"
Rh 5.718 1.709 4.425
Rh 1.906 0.570 1.475
O 0.000 0.000 0.000
P 3.812 1.140 2.950
```

The calculation puts the calculated total energy at -6.473 eV per atom. Its formation energy (no corrections) is -79 kJ/mol of formula units. The total magnetic moment is 0.19 Bohr magnetons per cell. For the energy relative to the lowest polymorph listed for this composition, the calculation gives 0.44 eV/f.u. The space-group type is Fm-3m.

=====

Density functional theory data (PBE) for LaTmTl2 after structural relaxation.

The structure in extended XYZ format:
```
4
Lattice="4.433 0.000 0.000 0.000 5.127 0.000 0.000 0.000 5.127" Properties=species:S:1:pos:R:3 pbc="T T T"
La 2.216 0.000 0.000
Tl 0.000 2.563 0.000
Tl 0.000 0.000 2.563
Tm 2.216 2.563 2.563
```

The calculation puts the calculated total energy at -3.867 eV per atom. The total magnetic moment is 0.03 Bohr magnetons per cell. The space-group type is P4/mmm.

=====

Density functional theory data (PBE) for ZnCd3Au6 after structural relaxation.

The structure in extended XYZ format:
```
20
Lattice="4.240 0.000 0.000 0.000 12.118 -1.326 0.000 -5.783 8.147" Properties=species:S:1:pos:R:3 pbc="T T T"
Zn 1.060 9.553 1.710
Zn 3.180 -3.218 5.111
Cd 1.060 1.925 4.170
Cd 1.060 5.228 6.110
Cd 3.180 1.107 0.711
Cd 3.180 4.410 2.651
Cd 3.180 0.744 6.351
Cd 1.060 5.591 0.470
Au 3.180 -1.944 7.628
Au 1.060 -3.924 6.926
Au 1.060 2.911 1.479
Au 3.180 -0.799 3.900
Au 3.180 10.259 -0.105
Au 1.060 7.134 2.921
Au 1.060 8.279 -0.807
Au 3.180 3.424 5.342
Au 3.180 7.600 1.115
Au 1.060 -1.265 5.706
Au 3.180 6.373 4.664
Au 1.060 -0.038 2.157
```

The calculation puts the calculated total energy at -2.513 eV per atom. The total magnetic moment is 0.00 Bohr magnetons per cell. The space-group type is P2_1/m.

=====

Density functional theory data (PBE) for Co2SiC after structural relaxation.

The structure in extended XYZ format:
```
4
Lattice="-2.327 -0.728 2.900 -0.697 2.678 2.588 -3.409 1.646 0.152" Properties=species:S:1:pos:R:3 pbc="T T T"
C 0.000 0.000 0.000
Si -3.217 1.798 2.820
Co -1.608 0.899 1.410
Co -4.825 2.698 4.230
```

The calculation puts the calculated total energy at -6.569 eV per atom. Its formation energy (no corrections) is 249 kJ/mol of formula units. The total magnetic moment is 1.51 Bohr magnetons per cell. For the energy relative to the lowest polymorph listed for this composition, the calculation gives 1.18 eV/f.u. The space-group type is Fm-3m.

=====

Density functional theory data (PBE) for LiGaTc after structural relaxation.

The structure in extended XYZ format:
```
6
Lattice="-2.453 -3.424 0.756 2.747 1.365 2.984 -3.871 3.234 2.085" Properties=species:S:1:pos:R:3 pbc="T T T"
Li -2.873 -0.028 2.659
Li -0.704 1.204 3.166
Ga -0.977 0.816 0.526
Ga -2.894 2.418 1.559
Tc -0.890 -1.686 1.590
Tc -2.687 2.861 4.235
```

The calculation puts the calculated total energy at -5.277 eV per atom. The total magnetic moment is 0.00 Bohr magnetons per cell. For the energy relative to the lowest polymorph listed for this composition, the calculation gives 0.11 eV/f.u. The space-group type is P-3m1.

=====

Density functional theory data (PBE) for CdNi2Sb after structural relaxation.

The structure in extended XYZ format:
```
4
Lattice="3.253 0.000 0.000 0.000 4.414 0.000 0.000 0.000 4.414" Properties=species:S:1:pos:R:3 pbc="T T T"
Ni 0.000 0.000 2.207
Ni 0.000 2.207 0.000
Cd 1.627 0.000 0.000
Sb 1.627 2.207 2.207
```

The calculation puts the calculated total energy at -4.117 eV per atom. Its formation energy (no corrections) is 13 kJ/mol of formula units. The total magnetic moment is 0.00 Bohr magnetons per cell. The space-group type is P4/mmm.

=====

Density functional theory data (PBE) for Sm2HoBi after structural relaxation.

The structure in extended XYZ format:
```
4
Lattice="4.944 0.000 0.000 0.000 4.900 0.000 0.000 0.000 4.900" Properties=species:S:1:pos:R:3 pbc="T T T"
Ho 2.472 2.450 2.450
Bi 2.472 0.000 0.000
Sm 0.000 2.450 0.000
Sm 0.000 0.000 2.450
```

The calculation puts the calculated total energy at -4.851 eV per atom. The total magnetic moment is 0.00 Bohr magnetons per cell. For the energy relative to the lowest polymorph listed for this composition, the calculation gives 0.07 eV/f.u. The space-group type is P4/mmm.

=====

Density functional theory data (PBE) for Y3TmTl4S8 after structural relaxation.

The structure in extended XYZ format:
```
16
Lattice="-6.653 -4.252 1.533 2.610 -1.063 8.379 -0.588 7.546 -2.721" Properties=species:S:1:pos:R:3 pbc="T T T"
S -3.644 3.423 4.339
S 0.014 1.759 4.939
S -4.347 -3.341 3.626
S -3.326 -0.344 5.709
S -0.986 -1.192 2.852
S -1.305 2.575 1.481
S -0.283 5.571 3.564
S -4.644 0.472 2.252
Tm 1.305 -0.532 4.189
Y -2.315 1.115 3.595
Y 1.011 3.241 2.829
Y -2.021 -2.658 4.956
Tl -3.326 -2.126 0.767
Tl -0.294 3.773 -1.361
Tl -3.621 1.647 -0.594
Tl 0.000 0.000 0.000
```

The calculation puts the calculated total energy at -5.638 eV per atom. Its formation energy (no corrections) is -2303 kJ/mol of formula units. The total magnetic moment is 0.00 Bohr magnetons per cell. The space-group type is R-3m.

=====

Q: Look up the calculated total energy of the third one.
A: -2.513 eV per atom